1.
LiRuBr (PBE-GGA, relaxed); SG = No. 156; magnetic moment = 0.0000 μB per atom; energy = -27.92 eV for the cell shown; ΔE_f (raw) = -106 kJ/mol of formula units; crystal system = trigonal; polymorph energy (0 for the lowest one) = 0.00 kcal/mol of atoms
1.0
3.758 0.000 0.000
-1.879 3.255 0.000
0.000 0.000 10.246
Li Ru Br
2 2 2
Direct
0.000 0.000 0.867 Li
0.333 0.667 0.553 Li
0.333 0.667 0.074 Ru
0.000 0.000 0.163 Ru
0.667 0.333 0.716 Br
0.000 0.000 0.408 Br

=====

2.
LaInSb2 (PBE-GGA, relaxed); SG = No. 160; magnetic moment = 0.0000 μB per atom; energy = -16.17 eV for the cell shown; ΔE_f (raw) = -25 kJ/mol of formula units; crystal system = trigonal
1.0
11.890 -0.016 -0.009
11.392 3.407 -0.009
11.392 1.659 2.976
In La Sb
1 1 2
Direct
0.502 0.502 0.502 In
0.752 0.752 0.752 La
0.007 0.007 0.007 Sb
0.238 0.238 0.238 Sb

=====

3.
RbSiAg3 (PBE-GGA, relaxed); SG = No. 221; magnetic moment = 0.0000 μB per atom; energy = -6.75 eV for the cell shown; ΔE_f (raw) = 791 kJ/mol of formula units; crystal system = cubic; polymorph energy (0 for the lowest one) = 36.36 kcal/mol of atoms
1.0
5.655 0.000 0.000
0.000 5.655 0.000
0.000 0.000 5.655
Si Rb Ag
1 1 3
Direct
0.500 0.500 0.500 Si
0.000 0.000 0.000 Rb
0.000 0.500 0.000 Ag
0.000 0.000 0.500 Ag
0.500 0.000 0.000 Ag

=====

4.
VSi4Os2 (PBE-GGA, relaxed); SG = No. 139; magnetic moment = 0.0000 μB per atom; energy = -49.34 eV for the cell shown; ΔE_f (raw) = 379 kJ/mol of formula units; crystal system = tetragonal
1.0
-2.591 -2.781 -2.116
0.900 -3.076 2.941
-5.556 -1.096 3.772
Si Os V
4 2 1
Direct
0.200 0.200 0.599 Si
0.800 0.800 0.401 Si
0.000 0.500 0.000 Si
0.500 0.000 0.000 Si
0.390 0.390 0.220 Os
0.610 0.610 0.780 Os
0.000 0.000 0.000 V

=====

5.
Rb2CuICl3 (PBE-GGA, relaxed); SG = No. 71; magnetic moment = 0.0000 μB per atom; energy = -21.35 eV for the cell shown; ΔE_f (raw) = -794 kJ/mol of formula units; crystal system = orthorhombic
1.0
-5.269 -0.907 -0.180
0.853 -5.468 2.590
1.438 6.308 5.635
Rb Cu I Cl
2 1 1 3
Direct
0.636 0.636 0.272 Rb
0.364 0.364 0.728 Rb
0.000 0.000 0.000 Cu
0.500 0.000 0.000 I
0.000 0.500 0.000 Cl
0.148 0.148 0.296 Cl
0.852 0.852 0.704 Cl

=====

6.
SrFePt2 (PBE-GGA, relaxed); SG = No. 216; magnetic moment = 0.8168 μB per atom; energy = -21.86 eV for the cell shown; crystal system = cubic
1.0
4.734 0.000 0.000
2.367 4.100 0.000
2.367 1.367 3.865
Fe Pt Sr
1 2 1
Direct
0.500 0.500 0.500 Fe
0.000 0.000 0.000 Pt
0.750 0.750 0.750 Pt
0.250 0.250 0.250 Sr

=====

7.
LiHfCdIr (PBE-GGA, relaxed); SG = No. 216; magnetic moment = 0.0000 μB per atom; energy = -23.05 eV for the cell shown; crystal system = cubic
1.0
-1.078 1.630 -4.158
-2.602 -2.500 -2.844
-4.312 1.301 -0.911
Ir Hf Li Cd
1 1 1 1
Direct
0.250 0.250 0.250 Ir
0.000 0.000 0.000 Hf
0.750 0.750 0.750 Li
0.500 0.500 0.500 Cd

=====

8.
MgIrOs (PBE-GGA, relaxed); SG = No. 156; magnetic moment = 0.0000 μB per atom; energy = -21.41 eV for the cell shown; crystal system = trigonal; polymorph energy (0 for the lowest one) = 3.56 kcal/mol of atoms
1.0
2.779 0.000 0.000
-1.390 2.407 0.000
0.000 0.000 6.823
Ir Mg Os
1 1 1
Direct
0.000 0.000 0.992 Ir
0.667 0.333 0.331 Mg
0.333 0.667 0.677 Os

=====

9.
Cs2DyHg2Te4 (PBE-GGA, relaxed); SG = No. 12; magnetic moment = 0.0000 μB per atom; energy = -26.74 eV for the cell shown; ΔE_f (raw) = -701 kJ/mol of formula units; crystal system = monoclinic
1.0
4.686 0.000 0.000
0.000 8.962 0.288
-2.343 -3.275 8.239
Cs Dy Hg Te
2 1 2 4
Direct
0.134 0.583 0.268 Cs
0.866 0.417 0.732 Cs
0.000 0.000 0.000 Dy
0.671 0.967 0.342 Hg
0.329 0.033 0.658 Hg
0.186 0.180 0.372 Te
0.814 0.820 0.628 Te
0.502 0.766 0.003 Te
0.498 0.234 0.997 Te

=====

10.
TiGa2Bi2 (PBE-GGA, relaxed); SG = No. 127; magnetic moment = 0.0000 μB per atom; energy = -41.88 eV for the cell shown; crystal system = tetragonal
1.0
-6.227 3.087 1.846
-3.597 -5.312 -3.249
-0.020 -2.356 3.873
Bi Ga Ti
4 4 2
Direct
0.169 0.669 0.500 Bi
0.669 0.831 0.500 Bi
0.831 0.331 0.500 Bi
0.331 0.169 0.500 Bi
0.362 0.862 0.000 Ga
0.862 0.638 0.000 Ga
0.638 0.138 0.000 Ga
0.138 0.362 0.000 Ga
0.000 0.000 0.000 Ti
0.500 0.500 0.000 Ti

=====

11.
Ac3ZrAl2O9 (PBE-GGA, relaxed); SG = No. 164; magnetic moment = 0.0000 μB per atom; energy = -120.35 eV for the cell shown; ΔE_f (raw) = -4570 kJ/mol of formula units; crystal system = trigonal
1.0
-5.067 1.171 1.991
2.169 -5.078 0.720
2.920 2.124 6.184
Ac Zr Al O
3 1 2 9
Direct
0.333 0.667 0.692 Ac
0.000 0.000 0.000 Ac
0.667 0.333 0.308 Ac
0.000 0.000 0.500 Zr
0.333 0.667 0.160 Al
0.667 0.333 0.840 Al
0.829 0.171 0.689 O
0.829 0.657 0.689 O
0.343 0.171 0.689 O
0.657 0.829 0.311 O
0.171 0.343 0.311 O
0.171 0.829 0.311 O
0.500 0.000 0.000 O
0.000 0.500 0.000 O
0.500 0.500 0.000 O

=====

12.
Er2SCl (PBE-GGA, relaxed); SG = No. 160; magnetic moment = 0.0002 μB per atom; energy = -21.12 eV for the cell shown; ΔE_f (raw) = -581 kJ/mol of formula units; crystal system = trigonal; polymorph energy (0 for the lowest one) = 0.15 kcal/mol of atoms
1.0
-1.068 3.487 0.420
-3.279 0.751 1.472
1.640 1.537 7.449
Er S Cl
2 1 1
Direct
0.072 0.072 0.784 Er
0.264 0.264 0.208 Er
0.667 0.667 0.999 S
0.497 0.497 0.509 Cl

=====

13.
Sc8Sn2Ru (PBE-GGA, relaxed); SG = No. 71; magnetic moment = 0.0108 μB per atom; energy = -72.72 eV for the cell shown; crystal system = orthorhombic
1.0
5.051 0.000 0.000
0.000 6.590 -0.185
-2.525 -3.086 7.452
Sc Sn Ru
8 2 1
Direct
0.373 0.610 0.747 Sc
0.627 0.864 0.254 Sc
0.816 0.815 0.632 Sc
0.000 0.244 0.000 Sc
0.184 0.185 0.368 Sc
0.373 0.136 0.746 Sc
0.627 0.390 0.253 Sc
0.000 0.756 0.000 Sc
0.814 0.313 0.627 Sn
0.186 0.687 0.373 Sn
0.500 0.000 0.000 Ru

=====

14.
InTc2As (PBE-GGA, relaxed); SG = No. 216; magnetic moment = 0.0001 μB per atom; energy = -26.33 eV for the cell shown; crystal system = cubic; polymorph energy (0 for the lowest one) = 9.53 kcal/mol of atoms
1.0
-0.111 -1.125 4.421
3.876 -0.963 2.207
1.621 2.895 3.133
As Tc In
1 2 1
Direct
0.500 0.500 0.500 As
0.000 0.000 0.000 Tc
0.250 0.250 0.250 Tc
0.750 0.750 0.750 In

=====

15.
NaV2Ag (PBE-GGA, relaxed); SG = No. 8; magnetic moment = 0.0000 μB per atom; energy = -42.28 eV for the cell shown; crystal system = monoclinic; polymorph energy (0 for the lowest one) = 3.86 kcal/mol of atoms
1.0
-8.730 1.687 -3.600
0.695 -1.757 -2.509
-1.566 -3.716 2.169
Na V Ag
2 4 2
Direct
0.616 0.000 0.042 Na
0.616 0.500 0.542 Na
0.137 0.000 0.035 V
0.137 0.500 0.535 V
0.321 0.000 0.539 V
0.321 0.500 0.039 V
0.893 0.000 0.531 Ag
0.893 0.500 0.031 Ag

=====

16.
Th2Ge3Au2 (PBE-GGA, relaxed); SG = No. 63; magnetic moment = 0.0000 μB per atom; energy = -78.27 eV for the cell shown; crystal system = orthorhombic
1.0
4.285 0.000 -1.022
0.000 7.251 0.000
0.110 0.000 9.960
Th Ge Au
4 6 4
Direct
0.155 0.250 0.310 Th
0.845 0.750 0.690 Th
0.949 0.250 0.898 Th
0.051 0.750 0.102 Th
0.221 0.750 0.442 Ge
0.779 0.250 0.558 Ge
0.559 0.431 0.118 Ge
0.441 0.569 0.882 Ge
0.441 0.931 0.882 Ge
0.559 0.069 0.118 Ge
0.686 0.948 0.371 Au
0.314 0.052 0.629 Au
0.314 0.448 0.629 Au
0.686 0.552 0.371 Au

=====

17.
Cs2NaTl12Pt3 (PBE-GGA, relaxed); SG = No. 166; magnetic moment = 0.0000 μB per atom; energy = -49.38 eV for the cell shown; crystal system = trigonal
1.0
8.993 -0.933 -0.662
3.630 8.280 -0.662
3.630 2.113 8.034
Cs Na Tl Pt
2 1 12 3
Direct
0.596 0.596 0.596 Cs
0.404 0.404 0.404 Cs
0.000 0.000 0.000 Na
0.280 0.280 0.908 Tl
0.860 0.860 0.365 Tl
0.365 0.860 0.860 Tl
0.908 0.280 0.280 Tl
0.860 0.365 0.860 Tl
0.280 0.908 0.280 Tl
0.720 0.720 0.092 Tl
0.140 0.140 0.635 Tl
0.635 0.140 0.140 Tl
0.092 0.720 0.720 Tl
0.140 0.635 0.140 Tl
0.720 0.092 0.720 Tl
0.500 0.000 0.000 Pt
0.000 0.500 0.000 Pt
0.000 0.000 0.500 Pt

=====

18.
Mn2CoHPt (PBE-GGA, relaxed); SG = No. 123; magnetic moment = 1.9257 μB per atom; energy = -28.51 eV for the cell shown; crystal system = tetragonal; polymorph energy (0 for the lowest one) = 30.69 kcal/mol of atoms
1.0
4.589 0.000 0.000
0.000 4.453 0.000
0.000 0.000 4.589
H Mn Co Pt
1 2 1 1
Direct
0.500 0.500 0.500 H
0.000 0.000 0.500 Mn
0.500 0.000 0.000 Mn
0.000 0.000 0.000 Co
0.000 0.500 0.000 Pt

=====

19.
LaPrDySc (PBE-GGA, relaxed); SG = No. 8; magnetic moment = 0.0000 μB per atom; energy = -20.28 eV for the cell shown; crystal system = monoclinic
1.0
3.792 0.000 0.603
0.000 5.777 0.000
0.988 -2.889 6.093
La Pr Dy Sc
1 1 1 1
Direct
0.415 0.137 0.275 La
0.658 0.411 0.822 Pr
0.196 0.871 0.743 Dy
0.917 0.645 0.290 Sc

=====

20.
MgBe2C (PBE-GGA, relaxed); SG = No. 227; magnetic moment = 0.0000 μB per atom; energy = -33.17 eV for the cell shown; crystal system = cubic; polymorph energy (0 for the lowest one) = 10.80 kcal/mol of atoms
1.0
5.472 0.000 0.000
0.000 5.472 0.000
2.736 2.736 3.869
Be Mg C
4 2 2
Direct
0.374 0.125 0.250 Be
0.376 0.625 0.250 Be
0.375 0.626 0.750 Be
0.875 0.624 0.750 Be
0.000 0.000 0.000 Mg
0.750 0.250 0.500 Mg
0.500 0.500 0.000 C
0.250 0.750 0.500 C